# Ac2YTeO8 PBE relaxed
# final energy	-86.23	eV per formula unit
# volume	205.3	Å³/cell
data_Ac2YTeO8
_symmetry_space_group_name_H-M 'P 1 2/m 1'
_symmetry_Int_Tables_number 10
_cell_length_a 5.3487
_cell_length_b 7.1597
_cell_length_c 5.3634
_cell_angle_alpha 90.00
_cell_angle_beta 91.58
_cell_angle_gamma 90.00
loop_
_symmetry_equiv_pos_as_xyz
'x,y,z'
'-x,-y,-z'
'-x,y,-z'
'x,-y,z'
loop_
_atom_site_label
_atom_site_type_symbol
_atom_site_fract_x
_atom_site_fract_y
_atom_site_fract_z
Ac1 Ac 0.0000 0.2448 0.0000
Y1 Y 0.5000 0.5000 0.5000
Te1 Te 0.5000 0.0000 0.5000
O1 O 0.2041 0.5000 0.2040
O2 O 0.2415 0.0000 0.2422
O3 O 0.3300 0.2087 0.6699

# AcYTeO5 PBE relaxed
# final energy	-58.51	eV per formula unit
# volume	564.1	Å³/cell
data_AcYTeO5
_symmetry_space_group_name_H-M 'C 1 2/c 1'
_symmetry_Int_Tables_number 15
_cell_length_a 8.0847
_cell_length_b 9.5113
_cell_length_c 8.1590
_cell_angle_alpha 90.00
_cell_angle_beta 115.97
_cell_angle_gamma 90.00
loop_
_symmetry_equiv_pos_as_xyz
'x,y,z'
'-x,-y,-z'
'-x,y,-z+1/2'
'x,-y,z+1/2'
'x+1/2,y+1/2,z'
'-x+1/2,-y+1/2,-z'
'-x+1/2,y+1/2,-z+1/2'
'x+1/2,-y+1/2,z+1/2'
loop_
_atom_site_label
_atom_site_type_symbol
_atom_site_fract_x
_atom_site_fract_y
_atom_site_fract_z
Ac1 Ac 0.0000 0.0592 0.2500
Y1 Y 0.2500 0.2500 0.0000
Te1 Te 0.0000 0.4636 0.2500
O1 O 0.0000 0.1882 0.7500
O2 O 0.0410 0.3223 0.1054
O3 O 0.2139 0.0179 0.0781

# AcYTeO6 PBE relaxed
# final energy	-65.72	eV per formula unit
# volume	144.4	Å³/cell
data_AcYTeO6
_symmetry_space_group_name_H-M 'P 3 1 2'
_symmetry_Int_Tables_number 149
_cell_length_a 5.6387
_cell_length_b 5.6387
_cell_length_c 5.2437
_cell_angle_alpha 90.00
_cell_angle_beta 90.00
_cell_angle_gamma 120.00
loop_
_symmetry_equiv_pos_as_xyz
'x,y,z'
'-y,x-y,z'
'-x+y,-x,z'
'-y,-x,-z'
'-x+y,y,-z'
'x,x-y,-z'
loop_
_atom_site_label
_atom_site_type_symbol
_atom_site_fract_x
_atom_site_fract_y
_atom_site_fract_z
Ac1 Ac 0.0000 0.0000 0.0000
Y1 Y 0.3333 0.6667 0.5000
Te1 Te 0.6667 0.3333 0.5000
O1 O 0.3850 0.0410 0.7121

# AcZnTe2O8 PBE relaxed
# final energy	-67.42	eV per formula unit
# volume	396.3	Å³/cell
data_AcZnTe2O8
_symmetry_space_group_name_H-M 'I -4 m 2'
_symmetry_Int_Tables_number 119
_symmetry_space_group_name_Hall 'I -4 -2'
_cell_length_a 7.4770
_cell_length_b 7.4770
_cell_length_c 7.0886
_cell_angle_alpha 90.00
_cell_angle_beta 90.00
_cell_angle_gamma 90.00
loop_
_atom_site_label
_atom_site_type_symbol
_atom_site_fract_x
_atom_site_fract_y
_atom_site_fract_z
Ac1 Ac 0.0000 0.0000 0.0000
Zn1 Zn 0.0000 0.5000 0.7500
Te1 Te 0.0000 0.0000 0.5000
Te2 Te 0.0000 0.5000 0.2500
O1 O 0.0000 0.1995 0.6768
O2 O 0.0000 0.3168 0.0789

# AcZnTeO6 PBE relaxed
# final energy	-53.91	eV per formula unit
# volume	132.2	Å³/cell
data_AcZnTeO6
_symmetry_space_group_name_H-M 'P 3 1 2'
_symmetry_Int_Tables_number 149
_cell_length_a 5.3277
_cell_length_b 5.3277
_cell_length_c 5.3762
_cell_angle_alpha 90.00
_cell_angle_beta 90.00
_cell_angle_gamma 120.00
loop_
_symmetry_equiv_pos_as_xyz
'x,y,z'
'-y,x-y,z'
'-x+y,-x,z'
'-y,-x,-z'
'-x+y,y,-z'
'x,x-y,-z'
loop_
_atom_site_label
_atom_site_type_symbol
_atom_site_fract_x
_atom_site_fract_y
_atom_site_fract_z
Ac1 Ac 0.0000 0.0000 0.0000
Zn1 Zn 0.3333 0.6667 0.5000
Te1 Te 0.6667 0.3333 0.5000
O1 O 0.3850 0.0193 0.7089

# AcZnTeO5 PBE relaxed
# final energy	-48.21	eV per formula unit
# volume	484.6	Å³/cell
data_AcZnTeO5
_symmetry_space_group_name_H-M 'C 1 2/c 1'
_symmetry_Int_Tables_number 15
_cell_length_a 6.9922
_cell_length_b 9.7188
_cell_length_c 7.7335
_cell_angle_alpha 90.00
_cell_angle_beta 112.75
_cell_angle_gamma 90.00
loop_
_symmetry_equiv_pos_as_xyz
'x,y,z'
'-x,-y,-z'
'-x,y,-z+1/2'
'x,-y,z+1/2'
'x+1/2,y+1/2,z'
'-x+1/2,-y+1/2,-z'
'-x+1/2,y+1/2,-z+1/2'
'x+1/2,-y+1/2,z+1/2'
loop_
_atom_site_label
_atom_site_type_symbol
_atom_site_fract_x
_atom_site_fract_y
_atom_site_fract_z
Ac1 Ac 0.0000 0.1653 0.2500
Zn1 Zn 0.0000 0.1873 0.7500
Te1 Te 0.0000 0.5000 0.0000
O1 O 0.0000 0.4365 0.2500
O2 O 0.0993 0.2985 0.5872
O3 O 0.1908 0.0489 0.9231

# AcZrTeO6 PBE relaxed
# final energy	-67.45	eV per formula unit
# volume	287.4	Å³/cell
data_AcZrTeO6
_symmetry_space_group_name_H-M 'P -3 1 c'
_symmetry_Int_Tables_number 163
_symmetry_space_group_name_Hall '-P 3 2c'
_cell_length_a 5.5752
_cell_length_b 5.5752
_cell_length_c 10.6764
_cell_angle_alpha 90.00
_cell_angle_beta 90.00
_cell_angle_gamma 120.00
loop_
_atom_site_label
_atom_site_type_symbol
_atom_site_fract_x
_atom_site_fract_y
_atom_site_fract_z
Ac1 Ac 0.0000 0.0000 0.0000
Zr1 Zr 0.3333 0.6667 0.2500
Te1 Te 0.3333 0.6667 0.7500
O1 O 0.0083 0.3751 0.6426

# AcTh2O PBE relaxed
# final energy	-27.68	eV per formula unit
# volume	358.2	Å³/cell
data_AcTh2O
_symmetry_space_group_name_H-M 'R -3 m'
_symmetry_Int_Tables_number 166
_symmetry_space_group_name_Hall '-R 3 2"'
_cell_length_a 3.6967
_cell_length_b 3.6967
_cell_length_c 30.2641
_cell_angle_alpha 90.00
_cell_angle_beta 90.00
_cell_angle_gamma 120.00
loop_
_atom_site_label
_atom_site_type_symbol
_atom_site_fract_x
_atom_site_fract_y
_atom_site_fract_z
Ac1 Ac 0.0000 0.0000 0.0000
Th1 Th 0.0000 0.0000 0.1209
O1 O 0.0000 0.0000 0.5000

# Ac3ThO PBE relaxed
# final energy	-29.56	eV per formula unit
# volume	158.3	Å³/cell
data_Ac3ThO
_symmetry_space_group_name_H-M 'P m -3 m'
_symmetry_Int_Tables_number 221
_symmetry_space_group_name_Hall '-P 4 2 3'
_cell_length_a 5.4096
_cell_length_b 5.4096
_cell_length_c 5.4096
_cell_angle_alpha 90.00
_cell_angle_beta 90.00
_cell_angle_gamma 90.00
loop_
_atom_site_label
_atom_site_type_symbol
_atom_site_fract_x
_atom_site_fract_y
_atom_site_fract_z
Ac1 Ac 0.0000 0.0000 0.5000
Th1 Th 0.5000 0.5000 0.5000
O1 O 0.0000 0.0000 0.0000

# Ac2ThO5 PBE relaxed
# final energy	-68.38	eV per formula unit
# volume	523.3	Å³/cell
data_Ac2ThO5
_symmetry_space_group_name_H-M 'P n m a'
_symmetry_Int_Tables_number 62
_cell_length_a 10.7230
_cell_length_b 7.4199
_cell_length_c 6.5768
_cell_angle_alpha 90.00
_cell_angle_beta 90.00
_cell_angle_gamma 90.00
loop_
_symmetry_equiv_pos_as_xyz
'x,y,z'
'-x,-y,-z'
'-x+1/2,-y,z+1/2'
'x+1/2,y,-z+1/2'
'x+1/2,-y+1/2,-z+1/2'
'-x+1/2,y+1/2,z+1/2'
'-x,y+1/2,-z'
'x,-y+1/2,z'
loop_
_atom_site_label
_atom_site_type_symbol
_atom_site_fract_x
_atom_site_fract_y
_atom_site_fract_z
Ac1 Ac 0.1726 0.0023 0.0143
Th1 Th 0.0033 0.2500 0.5481
O1 O 0.0055 0.2500 0.9369
O2 O 0.0961 0.5241 0.6481
O3 O 0.1856 0.2500 0.3363
O4 O 0.2077 0.7500 0.3186

# AcTh3O PBE relaxed
# final energy	-36.20	eV per formula unit
# volume	137.0	Å³/cell
data_AcTh3O
_symmetry_space_group_name_H-M 'P m -3 m'
_symmetry_Int_Tables_number 221
_symmetry_space_group_name_Hall '-P 4 2 3'
_cell_length_a 5.1556
_cell_length_b 5.1556
_cell_length_c 5.1556
_cell_angle_alpha 90.00
_cell_angle_beta 90.00
_cell_angle_gamma 90.00
loop_
_atom_site_label
_atom_site_type_symbol
_atom_site_fract_x
_atom_site_fract_y
_atom_site_fract_z
Ac1 Ac 0.0000 0.0000 0.0000
Th1 Th 0.0000 0.5000 0.5000
O1 O 0.5000 0.5000 0.5000

# Ac3Th5O12 PBE relaxed
# final energy	-173.46	eV per formula unit
# volume	3144.9	Å³/cell
data_Ac3Th5O12
_symmetry_space_group_name_H-M 'I a -3 d'
_symmetry_Int_Tables_number 230
_symmetry_space_group_name_Hall '-I 4bd 2c 3'
_cell_length_a 14.6511
_cell_length_b 14.6511
_cell_length_c 14.6511
_cell_angle_alpha 90.00
_cell_angle_beta 90.00
_cell_angle_gamma 90.00
loop_
_atom_site_label
_atom_site_type_symbol
_atom_site_fract_x
_atom_site_fract_y
_atom_site_fract_z
Ac1 Ac 0.0000 0.2500 0.1250
Th1 Th 0.0000 0.0000 0.0000
Th2 Th 0.0000 0.2500 0.3750
O1 O 0.0127 0.0466 0.6546

# AcThTl2O8 PBE relaxed
# final energy	-75.97	eV per formula unit
# volume	387.5	Å³/cell
data_AcThTl2O8
_symmetry_space_group_name_H-M 'I -4'
_symmetry_Int_Tables_number 82
_cell_length_a 5.8843
_cell_length_b 5.8843
_cell_length_c 11.1909
_cell_angle_alpha 90.00
_cell_angle_beta 90.00
_cell_angle_gamma 90.00
loop_
_symmetry_equiv_pos_as_xyz
'x,y,z'
'y,-x,-z'
'-x,-y,z'
'-y,x,-z'
'x+1/2,y+1/2,z+1/2'
'y+1/2,-x+1/2,-z+1/2'
'-x+1/2,-y+1/2,z+1/2'
'-y+1/2,x+1/2,-z+1/2'
loop_
_atom_site_label
_atom_site_type_symbol
_atom_site_fract_x
_atom_site_fract_y
_atom_site_fract_z
Ac1 Ac 0.0000 0.0000 0.0000
Th1 Th 0.0000 0.5000 0.7500
Tl1 Tl 0.0000 0.0000 0.5000
Tl2 Tl 0.0000 0.5000 0.2500
O1 O 0.1801 0.2705 0.5966
O2 O 0.2015 0.7695 0.1673

# AcThUO6 PBE relaxed
# final energy	-82.83	eV per formula unit
# volume	306.1	Å³/cell
data_AcThUO6
_symmetry_space_group_name_H-M 'P -3 1 c'
_symmetry_Int_Tables_number 163
_symmetry_space_group_name_Hall '-P 3 2c'
_cell_length_a 6.1214
_cell_length_b 6.1214
_cell_length_c 9.4336
_cell_angle_alpha 90.00
_cell_angle_beta 90.00
_cell_angle_gamma 120.00
loop_
_atom_site_label
_atom_site_type_symbol
_atom_site_fract_x
_atom_site_fract_y
_atom_site_fract_z
Ac1 Ac 0.3333 0.6667 0.2500
Th1 Th 0.0000 0.0000 0.0000
U1 U 0.3333 0.6667 0.7500
O1 O 0.0437 0.3529 0.6287